# 1
{
  "formula": "Sm5Ru3",
  "functional": "PBE-GGA",
  "state": "optimized geometry",
  "cell": [[6.5082, 0.0000, 0.0000], [0.0000, 11.0223, 0.0000], [0.0000, 0.0000, 11.0223]],
  "species": ["Sm", "Sm", "Sm", "Sm", "Ru", "Ru", "Sm", "Sm", "Sm", "Sm", "Sm", "Ru", "Ru", "Ru", "Ru", "Ru", "Sm", "Sm", "Ru", "Sm", "Ru", "Sm", "Sm", "Ru", "Sm", "Sm", "Ru", "Sm", "Sm", "Ru", "Sm", "Sm"],
  "frac_coords": [[0.6202, 0.0881, 0.7076], [0.5000, 0.5000, 0.5000], [0.1202, 0.2076, 0.5881], [0.3798, 0.2924, 0.0881], [0.7500, 0.3476, 0.6524], [0.7500, 0.8476, 0.8476], [0.6202, 0.7924, 0.5881], [0.3798, 0.5881, 0.2076], [0.0000, 0.5000, 0.5000], [0.8798, 0.4119, 0.2076], [0.3798, 0.7076, 0.9119], [0.7500, 0.6524, 0.3476], [0.6249, 0.5000, 0.0000], [0.1249, 0.5000, 0.0000], [0.2500, 0.3476, 0.3476], [0.2500, 0.1524, 0.8476], [0.5000, 0.0000, 0.0000], [0.1202, 0.0881, 0.2924], [0.8751, 0.0000, 0.5000], [0.0000, 0.0000, 0.0000], [0.3751, 0.0000, 0.5000], [0.8798, 0.7076, 0.0881], [0.6202, 0.2076, 0.4119], [0.2500, 0.8476, 0.1524], [0.3798, 0.4119, 0.7924], [0.1202, 0.9119, 0.7076], [0.2500, 0.6524, 0.6524], [0.1202, 0.7924, 0.4119], [0.8798, 0.2924, 0.9119], [0.7500, 0.1524, 0.1524], [0.8798, 0.5881, 0.7924], [0.6202, 0.9119, 0.2924]],
  "crystal_system": "tetragonal",
  "e_form_mev_per_atom": -253
}

# 2
{
  "formula": "Er3Sn3Rh",
  "functional": "PBE-GGA",
  "state": "optimized geometry",
  "cell": [[-3.1144, 1.9006, 2.5630], [0.5866, -1.5193, 5.7178], [7.1271, 11.6929, 3.8679]],
  "species": ["Er", "Sn", "Er", "Sn", "Er", "Sn", "Rh", "Er", "Sn", "Er", "Er", "Sn", "Sn", "Rh"],
  "frac_coords": [[0.5986, 0.7261, 0.0767], [0.1463, 0.2424, 0.4650], [0.7340, 0.7730, 0.7590], [0.0163, 0.2005, 0.7668], [0.4807, 0.6590, 0.3796], [0.8716, 0.1796, 0.0772], [0.2424, 0.8970, 0.6181], [0.5193, 0.3410, 0.6204], [0.8537, 0.7576, 0.5350], [0.4014, 0.2739, 0.9233], [0.2660, 0.2270, 0.2410], [0.1284, 0.8204, 0.9228], [0.9837, 0.7995, 0.2332], [0.7576, 0.1030, 0.3819]],
  "crystal_system": "monoclinic",
  "e_form_mev_per_atom": -762
}

# 3
{
  "formula": "Si2PRh3",
  "functional": "PBE-GGA",
  "state": "optimized geometry",
  "cell": [[-3.1852, 3.1706, 3.0737], [-1.9625, -2.2166, -4.5696], [-1.0959, -2.9395, 1.8965]],
  "species": ["Rh", "Si", "Rh", "P", "Si", "Rh"],
  "frac_coords": [[0.5000, 0.0000, 0.5000], [0.6667, 0.3333, 0.0000], [0.0000, 0.5000, 0.5000], [0.0000, 0.0000, 0.0000], [0.3333, 0.6667, 0.0000], [0.5000, 0.5000, 0.5000]],
  "formation_energy_uncorrected_ev_per_fu": -0.092,
  "crystal_system": "hexagonal"
}

# 4
{
  "formula": "In2CoSnBr",
  "functional": "PBE-GGA",
  "state": "optimized geometry",
  "cell": [[5.0787, 0.0000, 0.0000], [0.0000, 5.0787, 0.0000], [0.0000, 0.0000, 4.8430]],
  "species": ["Sn", "In", "Br", "Co", "In"],
  "frac_coords": [[0.0000, 0.0000, 0.5000], [0.5000, 0.0000, 0.0000], [0.5000, 0.5000, 0.5000], [0.0000, 0.0000, 0.0000], [0.0000, 0.5000, 0.0000]],
  "formation_energy_uncorrected_ev_per_fu": -1.381,
  "crystal_system": "tetragonal"
}

# 5
{
  "formula": "Sm2TeIr",
  "functional": "PBE-GGA",
  "state": "optimized geometry",
  "cell": [[4.2120, 0.0000, 0.0000], [0.0000, 6.0376, 0.0000], [0.0000, 0.0000, 8.8528]],
  "species": ["Sm", "Te", "Sm", "Ir", "Sm", "Sm", "Te", "Ir"],
  "frac_coords": [[0.0000, 0.0000, 0.3805], [0.0000, 0.5000, 0.9031], [0.0000, 0.0000, 0.8114], [0.5000, 0.0000, 0.6017], [0.5000, 0.5000, 0.6195], [0.5000, 0.5000, 0.1886], [0.5000, 0.0000, 0.0969], [0.0000, 0.5000, 0.3983]],
  "formation_energy_uncorrected_ev_per_fu": -4.032,
  "crystal_system": "orthorhombic",
  "relative_energy_ev_per_fu": 0.02
}

# 6
{
  "formula": "Dy3CdGa2",
  "functional": "PBE-GGA",
  "state": "optimized geometry",
  "cell": [[3.5194, 0.0000, 0.0000], [0.0000, 3.5194, 0.0000], [0.0000, 0.0000, 11.5214]],
  "species": ["Dy", "Ga", "Dy", "Cd", "Dy", "Ga"],
  "frac_coords": [[0.0000, 0.0000, 0.6813], [0.5000, 0.5000, 0.8367], [0.0000, 0.0000, 0.3187], [0.5000, 0.5000, 0.5000], [0.0000, 0.0000, 0.0000], [0.5000, 0.5000, 0.1633]],
  "crystal_system": "tetragonal",
  "e_form_mev_per_atom": -494
}